This record from the Alexandria database describes a geometry-optimized BaNiI2O structure. The functional is PBE with a Hubbard U.

Output
**DOS at the Fermi energy**: 6.53 states/eV per cell
**Calculated total energy**: -2.751 eV per atom

Cell lengths 6.7902, 6.7902, 4.5012 Å; angles 90.00, 90.00, 90.00 degrees
With the nearest neighbours (Å) after each atom.
Fractional positions:
Ba 0.0000 0.0000 0.0000  2 O 2.25
I 0.5000 0.0000 0.0000  2 Ba 3.40
Ni 0.5000 0.5000 0.5000  8 I 4.07, 2 Ni 4.50
O 0.0000 0.0000 0.5000  2 Ba 2.25
I 0.0000 0.5000 0.0000  2 Ba 3.40